# 1
{
  "formula": "BiMo2P",
  "functional": "PBE",
  "state": "optimized geometry",
  "formation_enthalpy_0k_ev_per_fu": 1.9,
  "volume_a3_per_atom": 16.96,
  "crystal_system": "cubic",
  "total_magnetization_mub_per_fu": 0.00,
  "dos_at_fermi_per_ev_atom": 0.8197,
  "mass_density_g_cm3": 10.57,
  "lattice_angstrom": [[6.474, 0.000, 0.000], [0.000, 6.474, 0.000], [0.000, 0.000, 6.474]],
  "species": ["Bi", "Bi", "Bi", "Bi", "Mo", "Mo", "Mo", "Mo", "Mo", "Mo", "Mo", "Mo", "P", "P", "P", "P"],
  "fractional_positions": [[0.000, 0.000, 0.000], [0.000, 0.500, 0.500], [0.500, 0.000, 0.500], [0.500, 0.500, 0.000], [0.250, 0.250, 0.250], [0.250, 0.250, 0.750], [0.250, 0.750, 0.250], [0.250, 0.750, 0.750], [0.750, 0.250, 0.250], [0.750, 0.250, 0.750], [0.750, 0.750, 0.250], [0.750, 0.750, 0.750], [0.000, 0.000, 0.500], [0.000, 0.500, 0.000], [0.500, 0.000, 0.000], [0.500, 0.500, 0.500]]
}


# 2
{
  "formula": "MgScTlCd2",
  "functional": "PBE",
  "state": "optimized geometry",
  "formation_enthalpy_0k_ev_per_fu": 0.3,
  "volume_a3_per_atom": 25.12,
  "crystal_system": "orthorhombic",
  "total_magnetization_mub_per_fu": 0.00,
  "dos_at_fermi_per_ev_atom": 0.6920,
  "mass_density_g_cm3": 6.59,
  "lattice_angstrom": [[2.813, -7.947, 0.000], [2.813, 7.947, 0.000], [0.000, 0.000, 5.619]],
  "species": ["Mg", "Mg", "Sc", "Sc", "Tl", "Tl", "Cd", "Cd", "Cd", "Cd"],
  "fractional_positions": [[0.146, 0.854, 0.750], [0.854, 0.146, 0.250], [0.339, 0.661, 0.750], [0.661, 0.339, 0.250], [0.250, 0.750, 0.250], [0.750, 0.250, 0.750], [0.252, 0.252, 0.000], [0.252, 0.252, 0.500], [0.748, 0.748, 0.000], [0.748, 0.748, 0.500]]
}


# 3
{
  "formula": "CaCo4Re",
  "functional": "PBE",
  "state": "optimized geometry",
  "formation_enthalpy_0k_ev_per_fu": 2.2,
  "volume_a3_per_atom": 13.71,
  "crystal_system": "cubic",
  "total_magnetization_mub_per_fu": 7.27,
  "dos_at_fermi_per_ev_atom": 2.1108,
  "mass_density_g_cm3": 9.33,
  "lattice_angstrom": [[0.000, 3.452, 3.452], [3.452, 0.000, 3.452], [3.452, 3.452, 0.000]],
  "species": ["Ca", "Co", "Co", "Co", "Co", "Re"],
  "fractional_positions": [[0.000, 0.000, 0.000], [0.376, 0.376, 0.376], [0.376, 0.376, 0.871], [0.376, 0.871, 0.376], [0.871, 0.376, 0.376], [0.750, 0.750, 0.750]]
}


# 4
{
  "formula": "SrLiU2N5",
  "functional": "PBE",
  "state": "optimized geometry",
  "raw_formation_energy_ev_per_atom": -1.055,
  "volume_a3_per_atom": 13.13,
  "crystal_system": "tetragonal",
  "total_magnetization_mub_per_fu": 0.00,
  "dos_at_fermi_per_ev_atom": 0.0510,
  "mass_density_g_cm3": 9.00,
  "lattice_angstrom": [[-3.219, 3.219, 5.702], [3.219, -3.219, 5.702], [3.219, 3.219, -5.702]],
  "species": ["Sr", "Sr", "Li", "Li", "U", "U", "U", "U", "N", "N", "N", "N", "N", "N", "N", "N", "N", "N"],
  "fractional_positions": [[0.250, 0.250, 0.000], [0.750, 0.750, 0.000], [0.250, 0.750, 0.500], [0.750, 0.250, 0.500], [0.171, 0.671, 0.842], [0.329, 0.171, 0.500], [0.671, 0.829, 0.500], [0.829, 0.329, 0.158], [0.000, 0.000, 0.000], [0.036, 0.227, 0.500], [0.227, 0.727, 0.191], [0.273, 0.464, 0.500], [0.464, 0.964, 0.191], [0.500, 0.500, 0.000], [0.536, 0.036, 0.809], [0.727, 0.536, 0.500], [0.773, 0.273, 0.809], [0.964, 0.773, 0.500]]
}


# 5
{
  "formula": "TcTeRu2",
  "functional": "PBE",
  "state": "optimized geometry",
  "raw_formation_energy_ev_per_atom": 0.452,
  "volume_a3_per_atom": 15.83,
  "crystal_system": "cubic",
  "total_magnetization_mub_per_fu": 0.01,
  "dos_at_fermi_per_ev_atom": 1.3635,
  "mass_density_g_cm3": 11.22,
  "lattice_angstrom": [[6.327, 0.000, 0.000], [0.000, 6.327, 0.000], [0.000, 0.000, 6.327]],
  "species": ["Tc", "Tc", "Tc", "Tc", "Te", "Te", "Te", "Te", "Ru", "Ru", "Ru", "Ru", "Ru", "Ru", "Ru", "Ru"],
  "fractional_positions": [[0.000, 0.000, 0.000], [0.000, 0.500, 0.500], [0.500, 0.000, 0.500], [0.500, 0.500, 0.000], [0.250, 0.250, 0.250], [0.250, 0.750, 0.750], [0.750, 0.250, 0.750], [0.750, 0.750, 0.250], [0.000, 0.000, 0.500], [0.000, 0.500, 0.000], [0.250, 0.250, 0.750], [0.250, 0.750, 0.250], [0.500, 0.000, 0.000], [0.500, 0.500, 0.500], [0.750, 0.250, 0.250], [0.750, 0.750, 0.750]]
}


# 6
{
  "formula": "PrHo6Tm12",
  "functional": "PBE",
  "state": "optimized geometry",
  "formation_enthalpy_0k_ev_per_fu": 8.4,
  "volume_a3_per_atom": 33.50,
  "crystal_system": "trigonal",
  "total_magnetization_mub_per_fu": 0.00,
  "dos_at_fermi_per_ev_atom": 1.3132,
  "mass_density_g_cm3": 8.24,
  "lattice_angstrom": [[7.420, 4.284, 3.337], [-7.420, 4.284, 3.337], [0.000, -8.568, 3.337]],
  "species": ["Pr", "Ho", "Ho", "Ho", "Ho", "Ho", "Ho", "Tm", "Tm", "Tm", "Tm", "Tm", "Tm", "Tm", "Tm", "Tm", "Tm", "Tm", "Tm"],
  "fractional_positions": [[0.000, 0.000, 0.000], [0.268, 0.688, 0.688], [0.312, 0.312, 0.732], [0.312, 0.732, 0.312], [0.688, 0.268, 0.688], [0.688, 0.688, 0.268], [0.732, 0.312, 0.312], [0.111, 0.500, 0.889], [0.111, 0.889, 0.500], [0.143, 0.363, 0.363], [0.363, 0.143, 0.363], [0.363, 0.363, 0.143], [0.500, 0.111, 0.889], [0.500, 0.889, 0.111], [0.637, 0.637, 0.857], [0.637, 0.857, 0.637], [0.857, 0.637, 0.637], [0.889, 0.111, 0.500], [0.889, 0.500, 0.111]]
}